1.
Below is crystalline Sr5In at its relaxed geometry, with properties calculated at the PBE-GGA level.

Summary:
The value obtained for the formation energy is -4 kJ per mole of atoms. Its raw total energy is -1.898 eV/atom. The value obtained for the energy above the most stable polymorph in this dataset is 8.9 kJ/mol of atoms. As for the space group: Cm.

```
Sr5In
1.0
4.1801 0.0000 1.0018
1.1216 8.9284 4.5418
0.0406 1.6069 9.0521
Sr In
5 1
direct
0.2966 0.9434 0.4635 Sr
0.7181 0.6176 0.9461 Sr
0.0973 0.3669 0.4384 Sr
0.0184 0.8836 0.0796 Sr
0.4125 0.3126 0.8625 Sr
0.6237 0.0426 0.7100 In
```

2.
Below is crystalline Fe2GeSe at its relaxed geometry, with properties calculated at the PBE-GGA level.

Summary:
Its raw total energy is -6.024 eV/atom. The value obtained for the energy above the most stable polymorph in this dataset is 0.0 kJ/mol of atoms. Its uncorrected formation energy is 233 meV per atom. As for the space group: Fm-3m.

```
Fe2GeSe
1.0
0.0000 3.0443 3.0443
3.0443 0.0000 3.0443
3.0443 3.0443 0.0000
Fe Se Ge
2 1 1
direct
0.7500 0.7500 0.7500 Fe
0.2500 0.2500 0.2500 Fe
0.5000 0.5000 0.5000 Se
0.0000 0.0000 0.0000 Ge
```

3.
Below is crystalline Li6PtCl12 at its relaxed geometry, with properties calculated at the PBE-GGA level.

Summary:
Its raw total energy is -3.229 eV/atom. Its uncorrected formation energy is -1141 meV per atom. As for the space group: R-3.

```
Li6PtCl12
1.0
-7.5025 0.2511 -0.2331
0.1349 -3.8650 6.4381
0.5801 6.6511 3.4396
Cl Li Pt
12 6 1
direct
0.6048 0.8226 0.3951 Cl
0.3952 0.1774 0.6049 Cl
0.7025 0.0427 0.9159 Cl
0.8226 0.3951 0.6048 Cl
0.6049 0.3952 0.1774 Cl
0.3951 0.6048 0.8226 Cl
0.2975 0.9573 0.0841 Cl
0.9159 0.7025 0.0427 Cl
0.9573 0.0841 0.2975 Cl
0.0841 0.2975 0.9573 Cl
0.1774 0.6049 0.3952 Cl
0.0427 0.9159 0.7025 Cl
0.6380 0.1682 0.3960 Li
0.3620 0.8318 0.6040 Li
0.1682 0.3960 0.6380 Li
0.6040 0.3620 0.8318 Li
0.8318 0.6040 0.3620 Li
0.3960 0.6380 0.1682 Li
0.0000 0.0000 0.0000 Pt
```

4.
Below is crystalline Zn2CrW at its relaxed geometry, with properties calculated at the PBE-GGA level.

Summary:
The value obtained for the formation energy is 27 kJ per mole of atoms. Its raw total energy is -6.004 eV/atom. The value obtained for the energy above the most stable polymorph in this dataset is 9.5 kJ/mol of atoms. As for the space group: C2/m.

```
Zn2CrW
1.0
5.2816 0.0024 0.0082
-2.2547 4.4656 -0.0044
0.7723 0.6896 2.3839
W Zn Cr
1 2 1
direct
0.5000 0.5000 0.0000 W
0.5000 0.0000 0.5000 Zn
0.0000 0.0000 0.0000 Zn
0.0000 0.5000 0.5000 Cr
```

| no. | calculated volume (Å³/atom) |
| --- | --- |
| 1 | 51.46 |
| 2 | 14.11 |
| 3 | 22.16 |
| 4 | 14.05 |